# TlSiAs (GGA-PBE, relaxed)
# final energy = -34.71 eV per cell
# V = 242.3 Å³/cell
# energy above the most stable polymorph in this dataset = 209 meV/atom
# uncorrected formation energy = 84 kJ/mol of formula units
data_TlSiAs
_chemical_formula_sum 'Tl3 Si3 As3'
_cell_length_a 5.854
_cell_length_b 5.854
_cell_length_c 8.162
_cell_angle_alpha 90.00
_cell_angle_beta 90.00
_cell_angle_gamma 120.00
_symmetry_space_group_name_H-M 'P 1'
_symmetry_Int_Tables_number 1
_symmetry_space_group_name_Hall 'P 1'
loop_
_atom_site_label
_atom_site_fract_x
_atom_site_fract_y
_atom_site_fract_z
Tl1 0.164 0.801 0.000
Tl2 0.199 0.363 0.667
Tl3 0.637 0.836 0.333
Si1 0.514 0.150 0.552
Si2 0.637 0.486 0.886
Si3 0.850 0.363 0.219
As1 0.435 0.345 0.155
As2 0.655 0.089 0.822
As3 0.911 0.565 0.489